This record from Alexandria describes an optimized crystal structure of Pm5Dy5Y2. The functional is PBE-GGA.

Unit cell a=15.2299 b=5.0766 c=11.3791 alpha=90.00 beta=116.55 gamma=90.00
Closest atoms and distances in Å follow each position.
Space group C2/m (No. 12)
Inequivalent atoms, fractional coordinates:
1 Pm 0.0000 0.0000 0.0000  6 Dy 3.58-3.60, 4 Y 3.59, 2 Pm 3.60
2 Pm 0.0844 0.0000 0.7505  7 Dy 3.56-3.60, 3 Pm 3.59-3.60, 2 Y 3.60
3 Pm 0.1660 0.0000 0.4998  5 Dy 3.58-3.61, 4 Pm 3.59-3.60, 3 Y 3.60
4 Dy 0.0000 0.5000 0.5000  8 Pm 3.58-3.60, 2 Dy 3.60, 2 Y 3.61
5 Dy 0.1678 0.5000 0.0007  5 Pm 3.56-3.60, 5 Dy 3.57-3.58, 2 Y 3.59-3.60
6 Dy 0.2495 0.0000 0.2482  4 Dy 3.58-3.60, 6 Pm 3.58-3.61, 2 Y 3.59
7 Y 0.0833 0.5000 0.2489  7 Pm 3.59-3.60, 5 Dy 3.59-3.61

Results
- theoretical density (kg/m3) = 7238
- DFT formation energy (eV/atom) = 0.017
- VASP energy (hartree per atom) = -0.182
- calculated volume (Å³ per atom) = 32.8